# 1
The following is a DFT calculation (GGA-PBE) of crystalline La3Dy2Er3 at its relaxed geometry.

Lattice parameters (Å, degrees): 5.0191 5.1420 20.6106 90.00 90.00 90.00
Space group Immm (No. 71)
Asymmetric unit:
La  0.0000  0.0000  0.0000
La  0.0000  0.5000  0.1242
Dy  0.0000  0.0000  0.2485
Er  0.0000  0.0000  0.5000
Er  0.0000  0.5000  0.3722

Computed properties:
* ΔE to the lowest computed polymorph: 0.00 eV per formula unit
* DFT total energy: -4.67 eV per atom
* formation energy from the elements: 0.035 eV/atom

---

# 2
The following is a DFT calculation (GGA-PBE) of crystalline La5Dy4Er2 at its relaxed geometry.

Lattice parameters (Å, degrees): 3.5431 9.2712 23.7786 90.00 90.00 90.00
Space group Immm (No. 71)
Asymmetric unit:
La  0.0000  0.0000  0.0000
La  0.0000  0.2978  0.3521
Dy  0.0000  0.1856  0.5000
Dy  0.0000  0.5000  0.0965
Er  0.0000  0.5000  0.2300

Computed properties:
* ΔE to the lowest computed polymorph: 1.21 eV per formula unit
* DFT total energy: -4.55 eV per atom
* formation energy from the elements: 0.190 eV/atom

---

# 3
The following is a DFT calculation (GGA-PBE) of crystalline La3Dy4Er5 at its relaxed geometry.

Lattice parameters (Å, degrees): 6.1989 7.1515 8.7804 89.76 89.77 89.90
Space group P-1 (No. 2)
Asymmetric unit:
La  0.0000  0.0000  0.0000
La  0.1666  0.2512  0.3338
Dy  0.1711  0.7487  0.3325
Dy  0.3328  0.4991  0.6688
Er  0.0000  0.5000  0.0000
Er  0.3363  0.0001  0.6683
Er  0.4979  0.7481  0.0001

Computed properties:
* ΔE to the lowest computed polymorph: 0.00 eV per formula unit
* DFT total energy: -4.64 eV per atom
* formation energy from the elements: 0.028 eV/atom

---

# 4
The following is a DFT calculation (GGA-PBE) of crystalline La2Dy3Er3 at its relaxed geometry.

Lattice parameters (Å, degrees): 3.5878 17.6277 16.7548 90.00 90.00 90.00
Space group Cmcm (No. 63)
Asymmetric unit:
La  0.0000  0.2222  0.1513
Dy  0.0000  0.3585  0.0126
Dy  0.0000  0.3945  0.2500
Er  0.0000  0.0046  0.1002
Er  0.0000  0.4206  0.7500

Computed properties:
* ΔE to the lowest computed polymorph: 0.75 eV per formula unit
* DFT total energy: -4.54 eV per atom
* formation energy from the elements: 0.126 eV/atom

---

# 5
The following is a DFT calculation (GGA-PBE) of crystalline La7Dy12Er at its relaxed geometry.

Lattice parameters (Å, degrees): 11.3663 11.3663 11.3663 90.00 90.00 90.00
Space group Im-3m (No. 229)
Asymmetric unit:
La  0.0000  0.0000  0.5000
La  0.2500  0.2500  0.2500
Dy  0.0000  0.2456  0.2456
Er  0.0000  0.0000  0.0000

Computed properties:
* DFT total energy: -4.10 eV per atom
* formation energy from the elements: 0.618 eV/atom

---

# 6
The following is a DFT calculation (GGA-PBE) of crystalline La12Dy2Er5 at its relaxed geometry.

Lattice parameters (Å, degrees): 19.4635 7.6162 10.0525 90.00 117.80 90.00
Space group C2/m (No. 12)
Asymmetric unit:
La  0.0019  0.0000  0.2969
La  0.0165  0.5000  0.8550
La  0.1608  0.2496  0.3450
La  0.1635  0.2308  0.9914
Dy  0.0000  0.3012  0.5000
Er  0.0000  0.0000  0.0000
Er  0.1739  0.0000  0.6683
Er  0.1787  0.5000  0.6905

Computed properties:
* ΔE to the lowest computed polymorph: 1.04 eV per formula unit
* DFT total energy: -4.64 eV per atom
* formation energy from the elements: 0.156 eV/atom

---

# 7
The following is a DFT calculation (GGA-PBE) of crystalline La2Dy6Er5 at its relaxed geometry.

Lattice parameters (Å, degrees): 11.7153 20.1855 3.5873 90.00 90.00 90.00
Space group Pbam (No. 55)
Asymmetric unit:
La  0.1661  0.2199  0.0000
Dy  0.0593  0.9241  0.0000
Dy  0.0777  0.6369  0.0000
Dy  0.1799  0.3780  0.5000
Er  0.0000  0.5000  0.5000
Er  0.0959  0.7809  0.5000
Er  0.2002  0.0528  0.5000

Computed properties:
* DFT total energy: -4.53 eV per atom
* formation energy from the elements: 0.103 eV/atom

---

# 8
The following is a DFT calculation (GGA-PBE) of crystalline LaDy8Er4 at its relaxed geometry.

Lattice parameters (Å, degrees): 7.2750 7.2750 27.0425 90.00 90.00 120.00
Space group R-3m (No. 166, hexagonal axes)
Asymmetric unit:
La  0.0000  0.0000  0.0000
Dy  0.0000  0.0000  0.2809
Dy  0.0354  0.5177  0.2678
Er  0.0000  0.0000  0.5000
Er  0.0000  0.5000  0.5000

Computed properties:
* DFT total energy: -4.43 eV per atom
* formation energy from the elements: 0.186 eV/atom

---

Record order is preserved below.
Spin magnetization: 0.00, 0.00, 0.00, 0.00, 0.00, 0.00, 0.00, 0.00 μB per atom